[1]
This record from Alexandria via LeMat-Bulk describes an optimized crystal structure of NdFeSi. The functional is PBE-GGA.

Summary:
Its uncorrected formation energy is -0.373 eV/atom. The total magnetization is 1.600 μB/f.u. Its mass density is 6.333 Mg/m³. The symmetry is No. 187.

```
3
Lattice="4.083 0.000 0.000 -2.042 3.536 0.000 0.000 0.000 4.143" Properties=species:S:1:pos:R:3 pbc="T T T"
Nd 0.000 0.000 0.000
Fe 2.042 1.179 2.072
Si 0.000 2.358 2.072
```

---

[2]
This record from Alexandria via LeMat-Bulk describes an optimized crystal structure of ZnOsOF2. The functional is PBE-GGA.

Summary:
Its uncorrected formation energy is -0.638 eV/atom. The calculation puts the energy above the most stable polymorph in this dataset at 0 meV/atom. The total magnetization is 0.000 μB/f.u. Its mass density is 7.186 Mg/m³. The symmetry is No. 123.

```
5
Lattice="4.403 0.000 0.000 0.000 4.403 0.000 0.000 0.000 3.691" Properties=species:S:1:pos:R:3 pbc="T T T"
Zn 0.000 0.000 0.000
Os 2.201 2.201 1.846
O 2.201 2.201 0.000
F 0.000 2.201 1.846
F 2.201 0.000 1.846
```

---

[3]
This record from Alexandria via LeMat-Bulk describes an optimized crystal structure of CaY2Ir. The functional is PBE-GGA.

Summary:
The value obtained for the formation energy is -8 meV per atom. The calculation puts the energy above the most stable polymorph in this dataset at 395 meV/atom. The total magnetization is 0.000 μB/f.u. Its mass density is 6.989 Mg/m³. The symmetry is No. 216.

```
4
Lattice="0.000 3.652 3.652 3.652 0.000 3.652 3.652 3.652 0.000" Properties=species:S:1:pos:R:3 pbc="T T T"
Ca 0.000 0.000 0.000
Y 1.826 1.826 1.826
Y 3.652 3.652 3.652
Ir 5.479 5.479 5.479
```

---

[4]
This record from Alexandria via LeMat-Bulk describes an optimized crystal structure of Ba2In6HgAu. The functional is PBE-GGA.

Summary:
The value obtained for the formation energy is -74 meV per atom. The total magnetization is 0.000 μB/f.u. Its mass density is 6.558 Mg/m³. The symmetry is No. 225.

```
10
Lattice="0.000 5.565 5.565 5.565 0.000 5.565 5.565 5.565 0.000" Properties=species:S:1:pos:R:3 pbc="T T T"
Ba 2.782 2.782 2.782
Ba 8.347 8.347 8.347
In 5.565 5.565 2.735
In 5.565 2.735 5.565
In 8.395 5.565 5.565
In 2.735 5.565 5.565
In 5.565 8.395 5.565
In 5.565 5.565 8.395
Hg 5.565 5.565 5.565
Au 0.000 0.000 0.000
```

---

[5]
This record from Alexandria via LeMat-Bulk describes an optimized crystal structure of Rb2NpBr3Cl3. The functional is PBE-GGA.

Summary:
Its uncorrected formation energy is -1.574 eV/atom. The total magnetization is 3.000 μB/f.u. Its mass density is 4.527 Mg/m³. The symmetry is No. 189.

```
9
Lattice="8.546 0.000 0.000 -4.273 7.401 0.000 0.000 0.000 4.373" Properties=species:S:1:pos:R:3 pbc="T T T"
Rb 0.000 4.934 0.000
Rb 4.273 2.467 0.000
Np 0.000 0.000 2.186
Br -1.499 2.597 2.186
Br 2.998 0.000 2.186
Br 2.774 4.804 2.186
Cl -3.342 5.788 0.000
Cl 0.931 1.612 0.000
Cl 6.684 0.000 0.000
```

---

[6]
This record from Alexandria via LeMat-Bulk describes an optimized crystal structure of CaCr2Tc. The functional is PBE-GGA.

Summary:
The value obtained for the formation energy is 737 meV per atom. The calculation puts the energy above the most stable polymorph in this dataset at 279 meV/atom. The total magnetization is 4.730 μB/f.u. Its mass density is 5.531 Mg/m³. The symmetry is No. 71.

```
4
Lattice="-1.638 2.526 4.392 1.638 -2.526 4.392 1.638 2.526 -4.392" Properties=species:S:1:pos:R:3 pbc="T T T"
Ca 0.000 0.000 0.000
Cr 1.638 0.000 2.568
Cr 0.000 2.526 1.825
Tc 0.000 0.000 4.392
```

---

[7]
This record from Alexandria via LeMat-Bulk describes an optimized crystal structure of CrTc2Br. The functional is PBE-GGA.

Summary:
Its uncorrected formation energy is 1.005 eV/atom. The calculation puts the energy above the most stable polymorph in this dataset at 539 meV/atom. The total magnetization is 0.001 μB/f.u. Its mass density is 9.239 Mg/m³. The symmetry is No. 216.

```
4
Lattice="0.000 3.089 3.089 3.089 0.000 3.089 3.089 3.089 0.000" Properties=species:S:1:pos:R:3 pbc="T T T"
Cr 0.000 0.000 0.000
Tc 3.089 3.089 3.089
Tc 4.633 4.633 4.633
Br 1.544 1.544 1.544
```

---

[8]
This record from Alexandria via LeMat-Bulk describes an optimized crystal structure of Tb6Cd2Ag. The functional is PBE-GGA.

Summary:
The value obtained for the formation energy is -79 meV per atom. The total magnetization is 0.001 μB/f.u. Its mass density is 8.176 Mg/m³. The symmetry is No. 14.

```
18
Lattice="6.258 0.000 0.000 0.000 9.350 0.000 -4.742 0.000 8.930" Properties=species:S:1:pos:R:3 pbc="T T T"
Tb -1.797 1.595 4.161
Tb -4.168 3.080 8.625
Tb 0.131 6.424 3.937
Tb -2.239 7.601 8.402
Tb 1.189 0.333 2.695
Tb -1.182 4.342 7.159
Tb 2.698 5.008 1.770
Tb 0.328 9.017 6.235
Tb 3.756 1.749 0.528
Tb 1.385 2.926 4.992
Tb 5.684 6.270 0.304
Tb 3.313 7.755 4.769
Cd -2.769 0.972 6.892
Cd -0.399 3.703 2.427
Cd 1.915 5.647 6.502
Cd 4.286 8.378 2.037
Ag 0.000 0.000 0.000
Ag -2.371 4.675 4.465
```

---

[9]
This record from Alexandria via LeMat-Bulk describes an optimized crystal structure of Sc3As. The functional is PBE-GGA.

Summary:
The value obtained for the formation energy is -482 meV per atom. The total magnetization is 0.997 μB/f.u. Its mass density is 3.589 Mg/m³. The symmetry is No. 166.

```
4
Lattice="1.802 1.040 8.628 -1.802 1.040 8.628 0.000 -2.081 8.628" Properties=species:S:1:pos:R:3 pbc="T T T"
Sc 0.000 0.000 0.000
Sc 0.000 0.000 5.950
Sc 0.000 0.000 19.933
As 0.000 0.000 12.941
```

---

[10]
This record from Alexandria via LeMat-Bulk describes an optimized crystal structure of GaRh3W. The functional is PBE-GGA.

Summary:
The value obtained for the formation energy is 1041 meV per atom. The calculation puts the energy above the most stable polymorph in this dataset at 4 meV/atom. The total magnetization is 2.004 μB/f.u. Its mass density is 10.678 Mg/m³. The symmetry is No. 221.

```
5
Lattice="4.439 0.000 0.000 0.000 4.439 0.000 0.000 0.000 4.439" Properties=species:S:1:pos:R:3 pbc="T T T"
Ga 0.000 0.000 0.000
Rh 0.000 0.000 2.219
Rh 0.000 2.219 0.000
Rh 2.219 0.000 0.000
W 2.219 2.219 2.219
```

---

[11]
This record from Alexandria via LeMat-Bulk describes an optimized crystal structure of Ce2SmErTe5. The functional is PBE-GGA.

Summary:
Its uncorrected formation energy is -0.851 eV/atom. The total magnetization is 3.437 μB/f.u. Its mass density is 5.853 Mg/m³. The symmetry is No. 123.

```
9
Lattice="5.479 0.000 0.000 0.000 5.479 0.000 0.000 0.000 11.682" Properties=species:S:1:pos:R:3 pbc="T T T"
Ce 0.000 0.000 2.096
Ce 0.000 0.000 9.586
Sm 2.739 2.739 5.841
Er 2.739 2.739 0.000
Te 0.000 0.000 5.841
Te 0.000 2.739 0.000
Te 2.739 0.000 0.000
Te 2.739 2.739 2.941
Te 2.739 2.739 8.741
```